Entry 1:
A plane-wave DFT calculation with PBE was carried out for a geometry-optimized BaSnSbO6 structure.

Calculated values
Formation energy (no corrections) ... -39.62 kcal/mol of atoms
Raw total energy ... -6.140 eV/atom
Magnetization ... 1.094 μB/f.u.

Geometry as CIF:
```
data_BaSnSbO6
_chemical_formula_sum 'Ba2 Sn2 Sb2 O12'
_cell_length_a 5.495
_cell_length_b 5.495
_cell_length_c 11.575
_cell_angle_alpha 90.00
_cell_angle_beta 90.00
_cell_angle_gamma 120.00
_space_group_name_H-M_alt 'P 1'
_space_group_IT_number 1
loop_
_space_group_symop_operation_xyz
'x,y,z'
loop_
_atom_site_label
_atom_site_type_symbol
_atom_site_fract_x
_atom_site_fract_y
_atom_site_fract_z
O1 O 0.612 0.623 0.151
O2 O 0.377 0.388 0.349
O3 O 0.011 0.623 0.349
O4 O 0.989 0.377 0.651
O5 O 0.623 0.011 0.849
O6 O 0.011 0.388 0.151
O7 O 0.388 0.377 0.849
O8 O 0.377 0.989 0.151
O9 O 0.388 0.011 0.651
O10 O 0.623 0.612 0.651
O11 O 0.612 0.989 0.349
O12 O 0.989 0.612 0.849
Sb1 Sb 0.333 0.667 0.250
Sb2 Sb 0.667 0.333 0.750
Sn1 Sn 0.333 0.667 0.750
Sn2 Sn 0.667 0.333 0.250
Ba1 Ba 0.000 0.000 0.500
Ba2 Ba 0.000 0.000 0.000
```

***

Entry 2:
A plane-wave DFT calculation with PBE was carried out for a geometry-optimized AcPa2Sn structure.

Calculated values
DFT formation energy ... 0.33 eV per atom
Raw total energy ... -6.441 eV/atom
Magnetization ... 0.001 μB/f.u.
Energy relative to the lowest polymorph listed for this composition ... 0.268 eV/atom

Geometry as CIF:
```
data_AcPa2Sn
_chemical_formula_sum 'Ac1 Pa2 Sn1'
_cell_length_a 5.436
_cell_length_b 5.436
_cell_length_c 5.436
_cell_angle_alpha 60.00
_cell_angle_beta 60.00
_cell_angle_gamma 60.00
_space_group_name_H-M_alt 'P 1'
_space_group_IT_number 1
loop_
_space_group_symop_operation_xyz
'x,y,z'
loop_
_atom_site_label
_atom_site_type_symbol
_atom_site_fract_x
_atom_site_fract_y
_atom_site_fract_z
Sn1 Sn 0.500 0.500 0.500
Ac1 Ac 0.000 0.000 0.000
Pa1 Pa 0.750 0.750 0.750
Pa2 Pa 0.250 0.250 0.250
```

***

Entry 3:
A plane-wave DFT calculation with PBE was carried out for a geometry-optimized I2ClF structure.

Calculated values
Formation energy (no corrections) ... 6.47 kcal/mol of atoms
Raw total energy ... -1.424 eV/atom
Magnetization ... 0.000 μB/f.u.
Energy relative to the lowest polymorph listed for this composition ... 0.258 eV/atom

Geometry as CIF:
```
data_I2ClF
_chemical_formula_sum 'I2 Cl1 F1'
_cell_length_a 5.105
_cell_length_b 5.105
_cell_length_c 5.105
_cell_angle_alpha 60.00
_cell_angle_beta 60.00
_cell_angle_gamma 60.00
_space_group_name_H-M_alt 'P 1'
_space_group_IT_number 1
loop_
_space_group_symop_operation_xyz
'x,y,z'
loop_
_atom_site_label
_atom_site_type_symbol
_atom_site_fract_x
_atom_site_fract_y
_atom_site_fract_z
Cl1 Cl 0.500 0.500 0.500
F1 F 0.000 0.000 0.000
I1 I 0.250 0.250 0.250
I2 I 0.750 0.750 0.750
```

***

Entry 4:
A plane-wave DFT calculation with PBE was carried out for a geometry-optimized TbCdS structure.

Calculated values
Formation energy (no corrections) ... -25.77 kcal/mol of atoms
Raw total energy ... -4.342 eV/atom
Magnetization ... 0.000 μB/f.u.

Geometry as CIF:
```
data_TbCdS
_chemical_formula_sum 'Tb2 Cd2 S2'
_cell_length_a 4.739
_cell_length_b 4.739
_cell_length_c 8.099
_cell_angle_alpha 72.99
_cell_angle_beta 72.99
_cell_angle_gamma 60.00
_space_group_name_H-M_alt 'P 1'
_space_group_IT_number 1
loop_
_space_group_symop_operation_xyz
'x,y,z'
loop_
_atom_site_label
_atom_site_type_symbol
_atom_site_fract_x
_atom_site_fract_y
_atom_site_fract_z
Cd1 Cd 0.164 0.164 0.509
Cd2 Cd 0.836 0.836 0.491
Tb1 Tb 0.408 0.408 0.775
Tb2 Tb 0.592 0.592 0.225
S1 S 0.286 0.286 0.141
S2 S 0.714 0.714 0.859
```

***

- Look up the magnetization of the fourth one.
  0.000 μB/f.u.

***

- What is the formula in the fourth record?
  TbCdS

***

- Number 1 is which compound?
  BaSnSbO6